# 1
Computed, not measured: crystalline LaSb2Rh at its relaxed geometry at the PBEsol level of DFT.

The space group is Cmmm (No. 65) and the conventional cell measures 5.7931, 7.8418 and 4.3115 Å, with angles of 90.00, 90.00 and 90.00 degrees. The inequivalent atoms are La at (0.0000, 0.0000, 0.0000), Sb at (0.0000, 0.3045, 0.5000) and Rh at (0.0000, 0.5000, 0.0000).

The volume is 24.48 A^3/atom. Its formation energy (no corrections) is -834 meV per atom. Its calculated total energy is -6.483 eV per atom. The calculation puts the density of states at the Fermi level at 0.13 states/eV/atom. The size of the total moment comes out at 0.00 μB per cell.

=====

# 2
Computed, not measured: crystalline BaMgW2 at its relaxed geometry at the PBEsol level of DFT.

The space group is Pmmm (No. 47) and the conventional cell measures 2.8665, 5.2083 and 5.4978 Å, with angles of 90.00, 90.00 and 90.00 degrees. The inequivalent atoms are Ba at (0.0000, 0.0000, 0.0000), Mg at (0.5000, 0.5000, 0.0000), W at (0.0000, 0.5000, 0.5000) and W at (0.5000, 0.0000, 0.5000).

The volume is 20.52 A^3/atom. Its calculated total energy is -6.549 eV per atom. The calculation puts the density of states at the Fermi level at 0.63 states/eV/atom. The size of the total moment comes out at 0.00 μB per cell.

=====

# 3
Computed, not measured: crystalline AlPSe at its relaxed geometry at the PBEsol level of DFT.

The space group is P3m1 (No. 156) and the conventional cell measures 3.6647, 3.6647 and 4.6838 Å, with angles of 90.00, 90.00 and 120.00 degrees. The inequivalent atoms are Al at (0.0000, 0.0000, 0.0000), P at (0.6667, 0.3333, 0.7375) and Se at (0.3333, 0.6667, 0.3275).

The volume is 18.16 A^3/atom. Its formation energy (no corrections) is -137 meV per atom. Its calculated total energy is -4.714 eV per atom. The calculation puts the density of states at the Fermi level at 0.61 states/eV/atom. The size of the total moment comes out at 0.00 μB per cell.

=====

# 4
Computed, not measured: crystalline MgIn2Cu at its relaxed geometry at the PBEsol level of DFT.

The space group is F-43m (No. 216) and the conventional cell measures 6.8232, 6.8232 and 6.8232 Å, with angles of 90.00, 90.00 and 90.00 degrees. The inequivalent atoms are Mg at (0.0000, 0.0000, 0.0000), In at (0.0000, 0.0000, 0.5000), In at (0.2500, 0.2500, 0.2500) and Cu at (0.2500, 0.2500, 0.7500).

The volume is 19.85 A^3/atom. Its calculated total energy is -2.876 eV per atom. The calculation puts the density of states at the Fermi level at 0.46 states/eV/atom. The size of the total moment comes out at 0.00 μB per cell.

=====

# 5
Computed, not measured: crystalline CsUCuTe3 at its relaxed geometry at the PBEsol level of DFT.

The space group is Cmcm (No. 63) and the conventional cell measures 4.2415, 16.9051 and 11.1280 Å, with angles of 90.00, 90.00 and 90.00 degrees. The inequivalent atoms are Cs at (0.0000, 0.2437, 0.2500), U at (0.0000, 0.5000, 0.0000), Cu at (0.0000, 0.0300, 0.7500), Te at (0.0000, 0.1204, 0.5611) and Te at (0.0000, 0.4382, 0.7500).

The volume is 33.25 A^3/atom. Its formation energy (no corrections) is -626 meV per atom. Its calculated total energy is -5.295 eV per atom. The calculation puts the density of states at the Fermi level at 1.37 states/eV/atom. The size of the total moment comes out at 8.00 μB per cell.

=====

# 6
Computed, not measured: crystalline BaIrW at its relaxed geometry at the PBEsol level of DFT.

The space group is F-43m (No. 216) and the conventional cell measures 6.6402, 6.6402 and 6.6402 Å, with angles of 90.00, 90.00 and 90.00 degrees. The inequivalent atoms are Ba at (0.0000, 0.0000, 0.0000), Ir at (0.2500, 0.2500, 0.7500) and W at (0.0000, 0.0000, 0.5000).

The volume is 24.40 A^3/atom. Its calculated total energy is -7.062 eV per atom. The calculation puts the density of states at the Fermi level at 1.86 states/eV/atom. The size of the total moment comes out at 0.04 μB per cell.

=====

# 7
Computed, not measured: crystalline LiCdHgRu2 at its relaxed geometry at the PBEsol level of DFT.

The space group is P4/mmm (No. 123) and the conventional cell measures 4.8868, 4.8868 and 4.3312 Å, with angles of 90.00, 90.00 and 90.00 degrees. The inequivalent atoms are Li at (0.0000, 0.0000, 0.0000), Cd at (0.0000, 0.0000, 0.5000), Hg at (0.5000, 0.5000, 0.0000) and Ru at (0.0000, 0.5000, 0.5000).

The volume is 20.69 A^3/atom. Its calculated total energy is -3.287 eV per atom. The calculation puts the density of states at the Fermi level at 1.43 states/eV/atom. The size of the total moment comes out at 2.73 μB per cell.

=====

# 8
Computed, not measured: crystalline Bi2O3 at its relaxed geometry at the PBEsol level of DFT.

The space group is Cm (No. 8) and the conventional cell measures 6.8051, 3.8121 and 7.1789 Å, with angles of 90.00, 109.30 and 90.00 degrees. The inequivalent atoms are Bi at (0.0000, 0.0000, 0.0000), Bi at (0.0310, 0.5000, 0.4877), O at (0.1574, 0.5000, 0.8332), O at (0.1909, 0.0000, 0.4607) and O at (0.4252, 0.0000, 0.1454).

The volume is 17.58 A^3/atom. Its formation energy (no corrections) is -1106 meV per atom. Its calculated total energy is -5.970 eV per atom. The size of the total moment comes out at 0.00 μB per cell.

=====

# 9
Computed, not measured: crystalline Ta2InW at its relaxed geometry at the PBEsol level of DFT.

The space group is P4mm (No. 99) and the conventional cell measures 2.7968, 2.7968 and 9.1513 Å, with angles of 90.00, 90.00 and 90.00 degrees. The inequivalent atoms are Ta at (0.0000, 0.0000, 0.0000), Ta at (0.5000, 0.5000, 0.2512), In at (0.5000, 0.5000, 0.7433) and W at (0.0000, 0.0000, 0.4975).

The volume is 17.90 A^3/atom. Its calculated total energy is -10.153 eV per atom. The calculation puts the density of states at the Fermi level at 0.83 states/eV/atom. The size of the total moment comes out at 0.00 μB per cell.

=====

# 10
Computed, not measured: crystalline LiTeBr at its relaxed geometry at the PBEsol level of DFT.

The space group is P-6m2 (No. 187) and the conventional cell measures 4.8216, 4.8216 and 3.4841 Å, with angles of 90.00, 90.00 and 120.00 degrees. The inequivalent atoms are Li at (0.0000, 0.0000, 0.0000), Te at (0.3333, 0.6667, 0.5000) and Br at (0.6667, 0.3333, 0.0000).

The volume is 23.38 A^3/atom. Its formation energy (no corrections) is -339 meV per atom. The value obtained for the energy above the most stable polymorph in this dataset is 0.261 eV per atom. Its calculated total energy is -2.793 eV per atom. The calculation puts the density of states at the Fermi level at 0.68 states/eV/atom. The size of the total moment comes out at 0.00 μB per cell.

=====

# 11
Computed, not measured: crystalline NiHg2Mo at its relaxed geometry at the PBEsol level of DFT.

The space group is R3m (No. 160, hexagonal axes) and the conventional cell measures 2.8726, 2.8726 and 28.3951 Å, with angles of 90.00, 90.00 and 120.00 degrees. The inequivalent atoms are Ni at (0.0000, 0.0000, 0.0000), Hg at (0.0000, 0.0000, 0.2555), Hg at (0.0000, 0.0000, 0.4882) and Mo at (0.0000, 0.0000, 0.7333).

The volume is 16.91 A^3/atom. The value obtained for the energy above the most stable polymorph in this dataset is 0.132 eV per atom. Its calculated total energy is -4.426 eV per atom. The calculation puts the density of states at the Fermi level at 0.88 states/eV/atom. The size of the total moment comes out at 0.00 μB per cell.

=====

# 12
Computed, not measured: crystalline SiTe2Cl at its relaxed geometry at the PBEsol level of DFT.

The space group is Pmmm (No. 47) and the conventional cell measures 3.5161, 3.7702 and 7.1069 Å, with angles of 90.00, 90.00 and 90.00 degrees. The inequivalent atoms are Si at (0.0000, 0.0000, 0.0000), Te at (0.5000, 0.5000, 0.2004) and Cl at (0.0000, 0.0000, 0.5000).

The volume is 23.55 A^3/atom. Its formation energy (no corrections) is 90 meV per atom. The value obtained for the energy above the most stable polymorph in this dataset is 0.125 eV per atom. Its calculated total energy is -3.612 eV per atom. The calculation puts the density of states at the Fermi level at 0.44 states/eV/atom. The size of the total moment comes out at 0.00 μB per cell.